Run one
Compound: SrTaAg
Source: Alexandria via LeMat-Bulk
Functional: GGA-PBE
Structure: relaxed

Lattice parameters (Å, degrees): 6.2727 6.2727 6.2727 136.25 93.86 102.14
Fractional positions:
Sr: 0.1864 0.2500 0.4364
Sr: 0.8136 0.7500 0.5636
Ta: 0.2690 0.5849 0.1841
Ta: 0.4008 0.0849 0.8159
Ag: 0.5787 0.9384 0.1402
Ag: 0.7982 0.4384 0.8598

Summary:
- space group = Ima2 (46)
- volume (A^3/atom) = 26.305

---

Run two
Compound: SrTaAg
Source: Alexandria via LeMat-Bulk
Functional: GGA-PBE
Structure: relaxed

Lattice parameters (Å, degrees): 5.2803 5.2803 6.2900 90.00 90.00 120.00
Fractional positions:
Sr: 0.3333 0.6667 0.2500
Sr: 0.6667 0.3333 0.7500
Ta: 0.3333 0.6667 0.7500
Ta: 0.6667 0.3333 0.2500
Ag: 0.0000 0.0000 0.0000
Ag: 0.0000 0.0000 0.5000

Summary:
- space group = P6_3/mmc (194)
- volume (A^3/atom) = 25.313

---

Which of them is the least stable? Correct choice: run two.

---

Run one
Compound: Ta2MoH
Source: Alexandria via LeMat-Bulk
Functional: GGA-PBE
Structure: relaxed

Lattice parameters (Å, degrees): 4.4177 4.4177 4.4177 60.00 60.00 60.00
Fractional positions:
Ta: 0.2500 0.2500 0.2500
Ta: 0.7500 0.7500 0.7500
Mo: 0.0000 0.0000 0.0000
H: 0.5000 0.5000 0.5000

Summary:
- space group = Fm-3m (225)
- volume (A^3/atom) = 15.241

---

Run two
Compound: Ta2MoH
Source: Alexandria via LeMat-Bulk
Functional: GGA-PBE
Structure: relaxed

Lattice parameters (Å, degrees): 6.9731 6.9731 6.9731 25.52 25.52 25.52
Fractional positions:
Ta: 0.2312 0.2312 0.2312
Ta: 0.7688 0.7688 0.7688
Mo: 0.0000 0.0000 0.0000
H: 0.5000 0.5000 0.5000

Summary:
- space group = R-3m (166)
- volume (A^3/atom) = 13.846

---

Which of them is the least stable? Correct choice: run one.